# 1
## Sm2DyY5Tm (PBE-GGA)

Data for crystalline Sm2DyY5Tm at its relaxed geometry.

Calculated values
* electronic total energy: -5.3774 eV/atom
* size of the total moment: 0.000 Bohr magnetons per cell
* DOS at the Fermi energy: 24.7 states/eV per cell
* calculated volume: 584 Å³/cell

Cell and atoms, written as CIF:
```
data_Sm2DyY5Tm
_chemical_formula_sum 'Sm4 Dy2 Y10 Tm2'
_symmetry_space_group_name_H-M 'P 1'
_symmetry_Int_Tables_number 1
_symmetry_space_group_name_Hall 'P 1'
_cell_length_a 9.912
_cell_length_b 9.912
_cell_length_c 9.912
_cell_angle_alpha 128.20
_cell_angle_beta 128.20
_cell_angle_gamma 76.29
loop_
_atom_site_label
_atom_site_type_symbol
_atom_site_fract_x
_atom_site_fract_y
_atom_site_fract_z
_atom_site_occupancy
Sm1 Sm 0.117 0.617 0.734 1
Sm2 Sm 0.383 0.117 0.500 1
Sm3 Sm 0.617 0.883 0.500 1
Sm4 Sm 0.883 0.383 0.266 1
Dy1 Dy 0.250 0.250 0.000 1
Dy2 Dy 0.750 0.750 0.000 1
Y1 Y 0.000 0.000 0.000 1
Y2 Y 0.071 0.151 0.500 1
Y3 Y 0.151 0.651 0.080 1
Y4 Y 0.349 0.429 0.500 1
Y5 Y 0.429 0.929 0.080 1
Y6 Y 0.500 0.500 0.000 1
Y7 Y 0.571 0.071 0.920 1
Y8 Y 0.651 0.571 0.500 1
Y9 Y 0.849 0.349 0.920 1
Y10 Y 0.929 0.849 0.500 1
Tm1 Tm 0.250 0.750 0.500 1
Tm2 Tm 0.750 0.250 0.500 1
```

# 2
## Pm2InS3 (PBE-GGA)

Data for crystalline Pm2InS3 at its relaxed geometry.

Calculated values
* E_form (uncorrected): -1.31 eV per atom
* electronic total energy: -5.4155 eV/atom
* size of the total moment: 0.000 Bohr magnetons per cell
* DOS at the Fermi energy: 1.7 states/eV per cell
* calculated volume: 143 Å³/cell

Cell and atoms, written as CIF:
```
data_Pm2InS3
_chemical_formula_sum 'Pm2 In1 S3'
_symmetry_space_group_name_H-M 'P 1'
_symmetry_Int_Tables_number 1
_symmetry_space_group_name_Hall 'P 1'
_cell_length_a 8.533
_cell_length_b 8.533
_cell_length_c 8.533
_cell_angle_alpha 155.45
_cell_angle_beta 146.27
_cell_angle_gamma 42.16
loop_
_atom_site_label
_atom_site_type_symbol
_atom_site_fract_x
_atom_site_fract_y
_atom_site_fract_z
_atom_site_occupancy
Pm1 Pm 0.147 0.147 0.000 1
Pm2 Pm 0.853 0.853 0.000 1
In1 In 0.500 0.500 0.000 1
S1 S 0.000 0.500 0.500 1
S2 S 0.322 0.322 0.000 1
S3 S 0.678 0.678 0.000 1
```

# 3
## Sc4Ni2Os (PBE-GGA)

Data for crystalline Sc4Ni2Os at its relaxed geometry.

Calculated values
* electronic total energy: -7.2790 eV/atom
* size of the total moment: 0.000 Bohr magnetons per cell
* DOS at the Fermi energy: 4.8 states/eV per cell
* calculated volume: 127 Å³/cell

Cell and atoms, written as CIF:
```
data_Sc4Ni2Os
_chemical_formula_sum 'Sc4 Ni2 Os1'
_symmetry_space_group_name_H-M 'P 1'
_symmetry_Int_Tables_number 1
_symmetry_space_group_name_Hall 'P 1'
_cell_length_a 7.734
_cell_length_b 7.734
_cell_length_c 7.734
_cell_angle_alpha 33.74
_cell_angle_beta 33.74
_cell_angle_gamma 33.74
loop_
_atom_site_label
_atom_site_type_symbol
_atom_site_fract_x
_atom_site_fract_y
_atom_site_fract_z
_atom_site_occupancy
Sc1 Sc 0.123 0.123 0.123 1
Sc2 Sc 0.375 0.375 0.375 1
Sc3 Sc 0.625 0.625 0.625 1
Sc4 Sc 0.877 0.877 0.877 1
Ni1 Ni 0.247 0.247 0.247 1
Ni2 Ni 0.753 0.753 0.753 1
Os1 Os 0.500 0.500 0.500 1
```

# 4
## Sc2TiOs3 (PBE-GGA)

Data for crystalline Sc2TiOs3 at its relaxed geometry.

Calculated values
* electronic total energy: -9.4902 eV/atom
* size of the total moment: 0.000 Bohr magnetons per cell
* DOS at the Fermi energy: 6.5 states/eV per cell
* calculated volume: 96 Å³/cell

Cell and atoms, written as CIF:
```
data_Sc2TiOs3
_chemical_formula_sum 'Sc2 Ti1 Os3'
_symmetry_space_group_name_H-M 'P 1'
_symmetry_Int_Tables_number 1
_symmetry_space_group_name_Hall 'P 1'
_cell_length_a 7.086
_cell_length_b 7.086
_cell_length_c 3.169
_cell_angle_alpha 90.00
_cell_angle_beta 90.00
_cell_angle_gamma 142.92
loop_
_atom_site_label
_atom_site_type_symbol
_atom_site_fract_x
_atom_site_fract_y
_atom_site_fract_z
_atom_site_occupancy
Sc1 Sc 0.167 0.833 0.000 1
Sc2 Sc 0.833 0.167 0.000 1
Ti1 Ti 0.500 0.500 0.000 1
Os1 Os 0.000 0.000 0.500 1
Os2 Os 0.341 0.659 0.500 1
Os3 Os 0.659 0.341 0.500 1
```

# 5
## Ac2B3IrRh12 (PBE-GGA)

Data for crystalline Ac2B3IrRh12 at its relaxed geometry.

Calculated values
* electronic total energy: -7.0036 eV/atom
* size of the total moment: 1.945 Bohr magnetons per cell
* DOS at the Fermi energy: 22.9 states/eV per cell
* calculated volume: 294 Å³/cell

Cell and atoms, written as CIF:
```
data_Ac2B3IrRh12
_chemical_formula_sum 'Ac2 B3 Ir1 Rh12'
_symmetry_space_group_name_H-M 'P 1'
_symmetry_Int_Tables_number 1
_symmetry_space_group_name_Hall 'P 1'
_cell_length_a 7.349
_cell_length_b 7.349
_cell_length_c 7.349
_cell_angle_alpha 62.16
_cell_angle_beta 62.16
_cell_angle_gamma 62.16
loop_
_atom_site_label
_atom_site_type_symbol
_atom_site_fract_x
_atom_site_fract_y
_atom_site_fract_z
_atom_site_occupancy
Ac1 Ac 0.096 0.096 0.096 1
Ac2 Ac 0.904 0.904 0.904 1
B1 B 0.000 0.500 0.500 1
B2 B 0.500 0.000 0.500 1
B3 B 0.500 0.500 0.000 1
Ir1 Ir 0.500 0.500 0.500 1
Rh1 Rh 0.064 0.644 0.644 1
Rh2 Rh 0.233 0.233 0.616 1
Rh3 Rh 0.233 0.616 0.233 1
Rh4 Rh 0.356 0.356 0.936 1
Rh5 Rh 0.356 0.936 0.356 1
Rh6 Rh 0.384 0.767 0.767 1
Rh7 Rh 0.616 0.233 0.233 1
Rh8 Rh 0.644 0.064 0.644 1
Rh9 Rh 0.644 0.644 0.064 1
Rh10 Rh 0.767 0.384 0.767 1
Rh11 Rh 0.767 0.767 0.384 1
Rh12 Rh 0.936 0.356 0.356 1
```

# 6
## CaReAs2Se (PBE-GGA)

Data for crystalline CaReAs2Se at its relaxed geometry.

Calculated values
* E_form (uncorrected): 1.83 eV per atom
* electronic total energy: -3.6192 eV/atom
* size of the total moment: 0.176 Bohr magnetons per cell
* DOS at the Fermi energy: 10.0 states/eV per cell
* calculated volume: 134 Å³/cell

Cell and atoms, written as CIF:
```
data_CaReAs2Se
_chemical_formula_sum 'Ca1 Re1 As2 Se1'
_symmetry_space_group_name_H-M 'P 1'
_symmetry_Int_Tables_number 1
_symmetry_space_group_name_Hall 'P 1'
_cell_length_a 5.132
_cell_length_b 5.132
_cell_length_c 5.094
_cell_angle_alpha 90.00
_cell_angle_beta 90.00
_cell_angle_gamma 90.00
loop_
_atom_site_label
_atom_site_type_symbol
_atom_site_fract_x
_atom_site_fract_y
_atom_site_fract_z
_atom_site_occupancy
Ca1 Ca 0.000 0.000 0.000 1
Re1 Re 0.500 0.500 0.500 1
As1 As 0.000 0.500 0.000 1
As2 As 0.500 0.000 0.000 1
Se1 Se 0.000 0.000 0.500 1
```